Computed, not measured: an optimized crystal structure of TaTi3V at the PBE level of DFT.

POSCAR file:
```
TaTi3V
1.0
4.7835 0.0000 0.0000
0.0000 4.7835 0.0000
0.0000 0.0000 4.7835
Ta Ti V
1 3 1
Direct
0.0000 0.0000 0.0000
0.0000 0.0000 0.5000
0.0000 0.5000 0.0000
0.5000 0.0000 0.0000
0.5000 0.5000 0.5000
```

The value obtained for the energy of formation from the pure elements is 1244 meV per atom. The value obtained for the distance to the lowest polymorph of the same formula is 474 meV per atom.


Computed, not measured: an optimized crystal structure of CsP2PdO at the PBE level of DFT.

POSCAR file:
```
CsP2PdO
1.0
5.4652 0.0000 0.0000
0.0000 5.4652 0.0000
0.0000 0.0000 4.1338
Cs P Pd O
1 2 1 1
Direct
0.0000 0.0000 0.0000
0.0000 0.5000 0.0000
0.5000 0.0000 0.0000
0.5000 0.5000 0.5000
0.0000 0.0000 0.5000
```

For the energy relative to the elements, uncorrected, the calculation gives 1.74 eV per atom. The value obtained for the distance to the lowest polymorph of the same formula is 1422 meV per atom.


Computed, not measured: an optimized crystal structure of Ba6Sb2SBr3 at the PBE level of DFT.

POSCAR file:
```
Ba6Sb2SBr3
1.0
4.2178 -7.3051 0.0000
4.2178 7.3051 0.0000
-2.8168 0.0000 7.9094
Ba Sb S Br
6 2 1 3
Direct
0.0765 0.3967 0.2290
0.2438 0.2438 0.7726
0.3967 0.0765 0.2290
0.6033 0.9235 0.7710
0.7562 0.7562 0.2274
0.9235 0.6033 0.7710
0.3332 0.6668 0.0000
0.6668 0.3332 0.0000
0.0000 0.0000 0.0000
0.1686 0.8314 0.5000
0.5000 0.5000 0.5000
0.8314 0.1686 0.5000
```

For the energy relative to the elements, uncorrected, the calculation gives -1.63 eV per atom.


Computed, not measured: an optimized crystal structure of PrSm2ThSb4 at the PBE level of DFT.

POSCAR file:
```
PrSm2ThSb4
1.0
7.7837 0.0000 0.0000
0.0000 4.5082 0.0000
-2.5994 0.0000 7.3526
Pr Sm Th Sb
1 2 1 4
Direct
0.0000 0.0000 0.0000
0.5000 0.0000 0.5000
0.5000 0.5000 0.0000
0.0000 0.5000 0.5000
0.2530 0.0000 0.7494
0.2538 0.5000 0.2535
0.7462 0.5000 0.7465
0.7470 0.0000 0.2506
```

For the energy relative to the elements, uncorrected, the calculation gives -1.13 eV per atom.


no.,magnetic moment (μB per atom)
1,0.538
2,0.000
3,0.000
4,0.000